No. 1
Below is an optimized crystal structure of ThH2Au, with properties calculated at the PBE level.

Computed properties:
Crystal system ... orthorhombic
Total energy ... -4.83 eV/atom
Space group ... Pnma

Cell lengths 5.179, 6.257, 7.304 Å; angles 90.00, 89.99, 90.00 degrees
Element x y z (fractional)
Th 0.750 0.843 0.838
Th 0.250 0.343 0.662
Th 0.250 0.157 0.162
Th 0.750 0.657 0.338
H 0.965 0.875 0.117
H 0.035 0.375 0.383
H 0.035 0.125 0.883
H 0.965 0.625 0.617
H 0.464 0.125 0.882
H 0.464 0.375 0.382
H 0.536 0.875 0.118
H 0.536 0.625 0.618
Au 0.250 0.623 0.996
Au 0.750 0.377 0.004
Au 0.750 0.123 0.504
Au 0.250 0.877 0.496

No. 2
Below is an optimized crystal structure of Th3HAu, with properties calculated at the PBE level.

Computed properties:
Crystal system ... cubic
Total energy ... -5.96 eV/atom
Space group ... Pm-3m

Cell lengths 4.910, 4.910, 4.910 Å; angles 90.00, 90.00, 90.00 degrees
Element x y z (fractional)
H 0.000 0.000 0.000
Au 0.500 0.500 0.500
Th 0.000 0.500 0.000
Th 0.000 0.000 0.500
Th 0.500 0.000 0.000

No. 3
Below is an optimized crystal structure of Th2HAu, with properties calculated at the PBE level.

Computed properties:
Crystal system ... monoclinic
Total energy ... -5.80 eV/atom
Space group ... P2_1/c

Cell lengths 6.826, 7.755, 6.997 Å; angles 90.00, 87.02, 90.00 degrees
Element x y z (fractional)
Th 0.118 0.741 0.006
Th 0.882 0.241 0.494
Th 0.882 0.259 0.994
Th 0.118 0.759 0.506
Th 0.411 0.105 0.755
Th 0.411 0.395 0.255
Th 0.589 0.895 0.245
Th 0.589 0.605 0.745
H 0.441 0.654 0.061
H 0.559 0.346 0.939
H 0.559 0.154 0.439
H 0.441 0.846 0.561
Au 0.816 0.935 0.772
Au 0.184 0.435 0.728
Au 0.184 0.065 0.228
Au 0.816 0.565 0.272

No. 4
Below is an optimized crystal structure of Th4H5Au, with properties calculated at the PBE level.

Computed properties:
Crystal system ... orthorhombic
Total energy ... -5.30 eV/atom
Space group ... Pmmn

Cell lengths 5.482, 7.028, 8.995 Å; angles 90.00, 90.00, 90.00 degrees
Element x y z (fractional)
Th 0.989 0.000 0.690
Th 0.482 0.771 0.000
Th 0.482 0.229 0.000
Th 0.989 0.000 0.310
Th 0.011 0.500 0.190
Th 0.518 0.729 0.500
Th 0.518 0.271 0.500
Th 0.011 0.500 0.810
H 0.286 0.753 0.747
H 0.286 0.247 0.747
H 0.728 0.500 0.000
H 0.286 0.753 0.253
H 0.286 0.247 0.253
H 0.714 0.747 0.247
H 0.714 0.253 0.247
H 0.272 0.000 0.500
H 0.714 0.253 0.753
H 0.714 0.747 0.753
Au 0.988 0.000 0.000
Au 0.012 0.500 0.500

No. 5
Below is an optimized crystal structure of Th2HAu, with properties calculated at the PBE level.

Computed properties:
Crystal system ... trigonal
Total energy ... -5.26 eV/atom
Space group ... R-3m

Cell lengths 3.414, 3.414, 9.337 Å; angles 79.47, 79.47, 60.00 degrees
Element x y z (fractional)
H 0.500 0.500 0.500
Au 0.000 0.000 0.000
Th 0.109 0.109 0.674
Th 0.891 0.891 0.326

No. 6
Below is an optimized crystal structure of Th2H2Au, with properties calculated at the PBE level.

Computed properties:
Crystal system ... monoclinic
Total energy ... -5.36 eV/atom
Space group ... C2/c

Cell lengths 6.100, 6.100, 6.391 Å; angles 105.83, 105.83, 115.02 degrees
Element x y z (fractional)
Th 0.171 0.329 0.750
Th 0.419 0.081 0.250
Th 0.581 0.919 0.750
Th 0.829 0.671 0.250
H 0.268 0.016 0.537
H 0.516 0.768 0.037
H 0.732 0.984 0.463
H 0.484 0.232 0.963
Au 0.876 0.624 0.750
Au 0.124 0.376 0.250

No. 7
Below is an optimized crystal structure of Ti2HAu, with properties calculated at the PBE level.

Computed properties:
Crystal system ... trigonal
Total energy ... -5.84 eV/atom
Space group ... R-3m

Cell lengths 2.981, 2.981, 7.133 Å; angles 77.94, 77.94, 60.00 degrees
Element x y z (fractional)
H 0.500 0.500 0.500
Au 0.000 0.000 0.000
Ti 0.777 0.777 0.669
Ti 0.223 0.223 0.331

No. 8
Below is an optimized crystal structure of Ti2HAu, with properties calculated at the PBE level.

Computed properties:
Crystal system ... cubic
Total energy ... -5.44 eV/atom
Space group ... Fm-3m

Cell lengths 4.382, 4.382, 4.382 Å; angles 60.00, 60.00, 60.00 degrees
Element x y z (fractional)
H 0.000 0.000 0.000
Au 0.500 0.500 0.500
Ti 0.250 0.250 0.250
Ti 0.750 0.750 0.750